1.
Entry from the Alexandria database: Li13Ti22O48 at its PBEsol-relaxed geometry (meta-GGA SCAN).

Output
**Magnetization**: 0.00 μB per formula unit
**Formation energy (no corrections)**: -3098 meV per atom
**Symmetry**: Cm

abc: 15.5874 15.5874 10.2097
angles: 109.01 109.01 21.83
Closest atoms and distances in Å follow each position.
Element x y z (fractional)
1 Li 0.0000 0.0000 0.0000  4 O 1.95-1.99
2 Li 0.0218 0.0218 0.3544  6 O 2.09-2.11
3 Li 0.0431 0.0431 0.7082  4 O 1.95-1.99
4 Li 0.1680 0.1680 0.8312  4 O 1.94-2.00
5 Li 0.2107 0.2107 0.5444  4 O 1.97-2.02
6 Li 0.2713 0.2713 0.1048  6 O 2.08-2.10
7 Li 0.3755 0.3755 0.3772  4 O 1.96-2.01
8 Li 0.5001 0.5001 0.4964  4 O 1.95-2.00
9 Li 0.5433 0.5433 0.2123  4 O 1.95-2.00
10 Li 0.6679 0.6679 0.3326  4 O 1.98-2.01
11 Li 0.7106 0.7106 0.0460  4 O 1.95-2.01
12 Li 0.8342 0.8342 0.1650  4 O 1.95-1.98
13 Li 0.8745 0.8745 0.8768  4 O 1.97-2.01
14 Ti 0.0270 0.5177 0.3500  6 O 1.90-2.05
15 Ti 0.0289 0.5150 0.8605  6 O 1.90-2.04
16 Ti 0.1032 0.1032 0.2717  6 O 1.92-2.01
17 Ti 0.1862 0.6953 0.1912  6 O 1.89-2.05
18 Ti 0.1899 0.6859 0.6866  6 O 1.95-2.01
19 Ti 0.1905 0.1905 0.1834  6 O 1.89-2.04
20 Ti 0.3480 0.8574 0.5171  6 O 1.89-2.05
21 Ti 0.3531 0.3531 0.0275  6 O 1.90-2.04
22 Ti 0.3559 0.8547 0.0232  6 O 1.96-2.00
23 Ti 0.4359 0.4359 0.9333  6 O 1.93-2.06
24 Ti 0.5150 0.0289 0.8605  6 O 1.90-2.04
25 Ti 0.5177 0.0270 0.3500  6 O 1.90-2.05
26 Ti 0.5216 0.5216 0.8541  6 O 1.99-2.00
27 Ti 0.6064 0.6064 0.7737  6 O 1.97-2.02
28 Ti 0.6859 0.1899 0.6866  6 O 1.95-2.01
29 Ti 0.6885 0.6885 0.6847  6 O 1.94-2.01
30 Ti 0.6953 0.1862 0.1912  6 O 1.89-2.05
31 Ti 0.7725 0.7725 0.6035  6 O 1.94-2.01
32 Ti 0.8547 0.3559 0.0232  6 O 1.96-2.00
33 Ti 0.8546 0.8546 0.5252  6 O 1.94-2.04
34 Ti 0.8574 0.3480 0.5171  6 O 1.89-2.05
35 Ti 0.9406 0.9406 0.4380  6 O 1.91-2.03
36 O 0.0296 0.5913 0.5491  3 Ti 1.94-1.99
37 O 0.0690 0.0690 0.0695  3 Ti 1.98-2.00, 1 Li 1.99
38 O 0.0691 0.0691 0.5582  2 Ti 1.90, 2 Li 1.95-2.10
39 O 0.0783 0.5482 0.0467  2 Ti 1.90, 2 Li 1.95-2.10
40 O 0.1213 0.6762 0.4900  3 Ti 1.98-2.03, 1 Li 1.99
41 O 0.1409 0.1409 0.4743  3 Ti 2.00-2.01, 1 Li 2.02
42 O 0.1449 0.1449 0.9929  3 Ti 1.98-2.00, 1 Li 2.00
43 O 0.1764 0.6211 0.9901  3 Ti 1.95-2.04, 1 Li 2.00
44 O 0.2079 0.7409 0.3836  2 Ti 1.89-1.91, 2 Li 1.95-2.09
45 O 0.2320 0.2320 0.3818  1 Li 1.98, 3 Ti 2.00
46 O 0.2351 0.2351 0.8899  2 Ti 1.91, 2 Li 1.94-2.10
47 O 0.2533 0.7026 0.8863  1 Li 1.98, 3 Ti 1.99-2.01
48 O 0.3023 0.8356 0.3251  2 Ti 1.89-1.92, 2 Li 1.95-2.09
49 O 0.3077 0.3077 0.3176  2 Ti 1.90, 2 Li 1.96-2.09
50 O 0.3107 0.3107 0.8318  3 Ti 1.95-1.99
51 O 0.3406 0.7909 0.8237  1 Li 1.99, 3 Ti 1.99-2.00
52 O 0.3665 0.9223 0.2185  3 Ti 1.96-2.04, 1 Li 2.00
53 O 0.3983 0.3983 0.2138  3 Ti 1.94-2.05, 1 Li 2.01
54 O 0.4041 0.4041 0.7357  3 Ti 1.93-1.95
55 O 0.4209 0.8690 0.7190  3 Ti 1.97-2.05, 1 Li 1.98
56 O 0.4634 0.9967 0.1632  2 Ti 1.89-1.92, 2 Li 1.95-2.08
57 O 0.4742 0.4742 0.1415  3 Ti 1.98-2.06, 1 Li 2.00
58 O 0.4783 0.4783 0.6597  3 Ti 1.99, 1 Li 1.99
59 O 0.5077 0.9563 0.6566  3 Ti 1.97-2.04, 1 Li 1.97
60 O 0.5482 0.0783 0.0467  2 Ti 1.90, 2 Li 1.95-2.10
61 O 0.5655 0.5655 0.0491  3 Ti 1.98-2.00, 1 Li 2.00
62 O 0.5693 0.5693 0.5685  3 Ti 1.98-2.02, 1 Li 2.00
63 O 0.5913 0.0296 0.5491  3 Ti 1.94-1.99
64 O 0.6211 0.1764 0.9901  3 Ti 1.95-2.04, 1 Li 2.00
65 O 0.6410 0.6410 0.9749  3 Ti 1.97-1.99, 1 Li 2.01
66 O 0.6451 0.6451 0.4962  3 Ti 1.94-2.04, 1 Li 2.01
67 O 0.6762 0.1213 0.4900  3 Ti 1.98-2.03, 1 Li 1.99
68 O 0.7026 0.2533 0.8863  1 Li 1.98, 3 Ti 1.99-2.01
69 O 0.7318 0.7318 0.8820  1 Li 1.99, 3 Ti 2.01
70 O 0.7362 0.7362 0.4037  3 Ti 1.97-2.05, 1 Li 1.98
71 O 0.7409 0.2079 0.3836  2 Ti 1.89-1.91, 2 Li 1.95-2.09
72 O 0.7909 0.3406 0.8237  1 Li 1.99, 3 Ti 1.99-2.00
73 O 0.8062 0.8062 0.8038  3 Ti 1.96-2.03, 1 Li 1.97
74 O 0.8112 0.8112 0.3248  1 Li 1.98, 3 Ti 1.99-2.04
75 O 0.8356 0.3023 0.3251  2 Ti 1.89-1.92, 2 Li 1.95-2.09
76 O 0.8690 0.4209 0.7190  3 Ti 1.97-2.05, 1 Li 1.98
77 O 0.8989 0.8989 0.7163  3 Ti 1.97-1.99, 1 Li 2.01
78 O 0.9029 0.9029 0.2344  1 Li 1.98, 3 Ti 2.00-2.02
79 O 0.9223 0.3665 0.2185  3 Ti 1.96-2.04, 1 Li 2.00
80 O 0.9563 0.5077 0.6566  3 Ti 1.97-2.04, 1 Li 1.97
81 O 0.9743 0.9743 0.1505  2 Ti 1.90, 2 Li 1.95-2.11
82 O 0.9744 0.9744 0.6390  3 Ti 1.97-2.01, 1 Li 1.99
83 O 0.9967 0.4634 0.1632  2 Ti 1.89-1.92, 2 Li 1.95-2.08

---

2.
Entry from the Alexandria database: Fe2CuMo at its PBEsol-relaxed geometry (meta-GGA SCAN).

Output
**Energy above the most stable polymorph in this dataset**: 139 meV/atom
**Formation energy from the elements**: 0.359 eV/atom
**Magnetization**: 0.93 μB per formula unit
**Symmetry**: Fm-3m

abc: 4.0321 4.0321 4.0321
angles: 60.00 60.00 60.00
Closest atoms and distances in Å follow each position.
Element x y z (fractional)
1 Fe 0.2500 0.2500 0.2500  4 Mo 2.47, 4 Cu 2.47
2 Fe 0.7500 0.7500 0.7500  4 Mo 2.47, 4 Cu 2.47
3 Cu 0.0000 0.0000 0.0000  8 Fe 2.47
4 Mo 0.5000 0.5000 0.5000  8 Fe 2.47

---

3.
Entry from the Alexandria database: SiTe2Cl at its PBEsol-relaxed geometry (meta-GGA SCAN).

Output
**Energy above the most stable polymorph in this dataset**: 141 meV/atom
**Magnetization**: 0.00 μB per formula unit
**Formation energy (no corrections)**: 173 meV per atom
**Symmetry**: Pmmm

abc: 3.5161 3.7702 7.1069
angles: 90.00 90.00 90.00
Closest atoms and distances in Å follow each position.
Element x y z (fractional)
1 Si 0.0000 0.0000 0.0000  8 Te 2.94
2 Te 0.5000 0.5000 0.2004  1 Te 2.85, 4 Si 2.94
3 Te 0.5000 0.5000 0.7996  1 Te 2.85, 4 Si 2.94
4 Cl 0.0000 0.0000 0.5000  8 Te 3.34, 2 Cl 3.52, 2 Si 3.55

---

4.
Entry from the Alexandria database: InOs2Au at its PBEsol-relaxed geometry (meta-GGA SCAN).

Output
**Formation energy from the elements**: 0.796 eV/atom
**Magnetization**: 0.00 μB per formula unit
**Symmetry**: Pmmm

abc: 2.8868 4.0914 5.4672
angles: 90.00 90.00 90.00
Closest atoms and distances in Å follow each position.
Element x y z (fractional)
1 In 0.0000 0.0000 0.0000  2 Au 2.73, 8 Os 2.81, 2 In 2.89
2 Os 0.5000 0.5000 0.2339  1 Os 2.56, 4 In 2.81
3 Os 0.5000 0.5000 0.7661  1 Os 2.56, 4 In 2.81
4 Au 0.0000 0.0000 0.5000  2 In 2.73, 2 Au 2.89, 8 Os 2.90

---

5.
Entry from the Alexandria database: RbFe3Bi at its PBEsol-relaxed geometry (meta-GGA SCAN).

Output
**Formation energy from the elements**: 2.396 eV/atom
**Magnetization**: 8.34 μB per formula unit
**Symmetry**: Pm-3m

abc: 4.6866 4.6866 4.6866
angles: 90.00 90.00 90.00
Closest atoms and distances in Å follow each position.
Element x y z (fractional)
1 Rb 0.0000 0.0000 0.0000  6 Fe 2.34
2 Fe 0.0000 0.0000 0.5000  2 Rb 2.34
3 Fe 0.0000 0.5000 0.0000  2 Rb 2.34
4 Fe 0.5000 0.0000 0.0000  2 Rb 2.34
5 Bi 0.5000 0.5000 0.5000  12 Fe 3.31

---

6.
Entry from the Alexandria database: TcSb2H at its PBEsol-relaxed geometry (meta-GGA SCAN).

Output
**Magnetization**: 0.00 μB per formula unit
**Raw total energy**: -110.70 eV per formula unit
**Symmetry**: I-42d

abc: 5.5211 5.5211 5.5211
angles: 111.23 111.23 106.00
Closest atoms and distances in Å follow each position.
Element x y z (fractional)
1 Tc 0.0000 0.0000 0.0000  4 Sb 2.66
2 Tc 0.7500 0.2500 0.5000  4 Sb 2.66
3 Sb 0.1940 0.6250 0.0690  2 H 2.10
4 Sb 0.3750 0.4440 0.5690  2 H 2.10
5 Sb 0.5560 0.1250 0.9310  2 H 2.10
6 Sb 0.8750 0.8060 0.4310  2 H 2.10
7 H 0.2500 0.7500 0.5000  4 Sb 2.10
8 H 0.5000 0.5000 0.0000  4 Sb 2.10

---

7.
Entry from the Alexandria database: Sr3LaTi2Mn2O12 at its PBEsol-relaxed geometry (meta-GGA SCAN).

Output
**Magnetization**: 7.00 μB per formula unit
**Formation energy (no corrections)**: -3177 meV per atom
**Symmetry**: R-3m

abc: 9.4464 9.4464 9.4464
angles: 33.57 33.57 33.57
Closest atoms and distances in Å follow each position.
Element x y z (fractional)
1 Sr 0.0000 0.0000 0.0000  12 O 2.73-2.78
2 Sr 0.2486 0.2486 0.2486  12 O 2.70-2.76
3 Sr 0.7514 0.7514 0.7514  12 O 2.70-2.76
4 La 0.5000 0.5000 0.5000  12 O 2.67-2.73
5 Ti 0.3756 0.3756 0.3756  6 O 1.94
6 Ti 0.6244 0.6244 0.6244  6 O 1.94
7 Mn 0.1253 0.1253 0.1253  6 O 1.91-1.92
8 Mn 0.8747 0.8747 0.8747  6 O 1.91-1.92
9 O 0.0000 0.0000 0.5000  2 Mn 1.92
10 O 0.0000 0.5000 0.0000  2 Mn 1.92
11 O 0.0000 0.5000 0.5000  2 Ti 1.94
12 O 0.2501 0.7467 0.7467  1 Mn 1.91, 1 Ti 1.94
13 O 0.2533 0.2533 0.7499  1 Mn 1.91, 1 Ti 1.94
14 O 0.2533 0.7499 0.2533  1 Mn 1.91, 1 Ti 1.94
15 O 0.5000 0.0000 0.0000  2 Mn 1.92
16 O 0.5000 0.0000 0.5000  2 Ti 1.94
17 O 0.5000 0.5000 0.0000  2 Ti 1.94
18 O 0.7467 0.2501 0.7467  1 Mn 1.91, 1 Ti 1.94
19 O 0.7467 0.7467 0.2501  1 Mn 1.91, 1 Ti 1.94
20 O 0.7499 0.2533 0.2533  1 Mn 1.91, 1 Ti 1.94

---

8.
Entry from the Alexandria database: FeAuCl2 at its PBEsol-relaxed geometry (meta-GGA SCAN).

Output
**Energy above the most stable polymorph in this dataset**: 0 meV/atom
**Magnetization**: 0.01 μB per formula unit
**Formation energy (no corrections)**: -221 meV per atom
**Symmetry**: R-3m

abc: 9.1399 9.1399 9.1399
angles: 19.62 19.62 19.62
Closest atoms and distances in Å follow each position.
Element x y z (fractional)
1 Fe 0.0000 0.0000 0.0000  6 Cl 2.22
2 Au 0.5000 0.5000 0.5000  6 Au 3.11, 2 Cl 3.18
3 Cl 0.3816 0.3816 0.3816  3 Fe 2.22
4 Cl 0.6184 0.6184 0.6184  3 Fe 2.22

---

9.
Entry from the Alexandria database: Li2Mg at its PBEsol-relaxed geometry (meta-GGA SCAN).

Output
**Formation energy from the elements**: 0.036 eV/atom
**Magnetization**: 0.04 μB per formula unit
**Symmetry**: Imma

abc: 8.2434 8.2434 8.2434
angles: 158.79 143.90 42.25
Closest atoms and distances in Å follow each position.
Element x y z (fractional)
1 Li 0.2620 0.0120 0.2500  3 Li 2.55-2.58
2 Li 0.4279 0.1779 0.2500  3 Li 2.55-2.69
3 Li 0.5721 0.8221 0.7500  3 Li 2.55-2.69
4 Li 0.7380 0.9880 0.7500  3 Li 2.55-2.58
5 Mg 0.0910 0.3410 0.7500  6 Li 2.98-3.04, 4 Mg 3.03-3.18
6 Mg 0.9090 0.6590 0.2500  6 Li 2.98-3.04, 4 Mg 3.03-3.18

---

10.
Entry from the Alexandria database: TaAsPt2 at its PBEsol-relaxed geometry (meta-GGA SCAN).

Output
**Formation energy from the elements**: -0.432 eV/atom
**Magnetization**: 0.00 μB per formula unit
**Symmetry**: P4/mmm

abc: 2.8685 2.8685 7.8775
angles: 90.00 90.00 90.00
Closest atoms and distances in Å follow each position.
Element x y z (fractional)
1 Ta 0.0000 0.0000 0.0000  8 Pt 2.76, 4 Ta 2.87
2 As 0.0000 0.0000 0.5000  4 As 2.87, 8 Pt 2.89
3 Pt 0.5000 0.5000 0.2378  4 Ta 2.76, 4 Pt 2.87, 4 As 2.89
4 Pt 0.5000 0.5000 0.7622  4 Ta 2.76, 4 Pt 2.87, 4 As 2.89

---

11.
Entry from the Alexandria database: CaSnTeN2 at its PBEsol-relaxed geometry (meta-GGA SCAN).

Output
**Magnetization**: 3.98 μB per formula unit
**Formation energy (no corrections)**: 952 meV per atom
**Symmetry**: P4/mmm

abc: 4.5396 4.5396 6.0315
angles: 90.00 90.00 90.00
Closest atoms and distances in Å follow each position.
Element x y z (fractional)
1 Ca 0.0000 0.0000 0.0000  4 N 2.27
2 Sn 0.5000 0.5000 0.5000  4 Te 3.21
3 Te 0.0000 0.0000 0.5000  2 Ca 3.02, 4 Sn 3.21
4 N 0.0000 0.5000 0.0000  2 Ca 2.27
5 N 0.5000 0.0000 0.0000  2 Ca 2.27

---

12.
Entry from the Alexandria database: Tl2SiS at its PBEsol-relaxed geometry (meta-GGA SCAN).

Output
**Magnetization**: 0.00 μB per formula unit
**Formation energy (no corrections)**: 510 meV per atom
**Symmetry**: Fm-3m

abc: 5.0138 5.0138 5.0138
angles: 60.00 60.00 60.00
Closest atoms and distances in Å follow each position.
Element x y z (fractional)
1 Tl 0.2500 0.2500 0.2500  4 S 3.07, 4 Si 3.07
2 Tl 0.7500 0.7500 0.7500  4 S 3.07, 4 Si 3.07
3 Si 0.0000 0.0000 0.0000  8 Tl 3.07
4 S 0.5000 0.5000 0.5000  8 Tl 3.07